A geometry-optimized Er8Te4C3N structure, computed with GGA-PBE.

Structure (CIF):
```
data_Er8Te4C3N
_chemical_formula_sum 'Er24 Te12 C9 N3'
_space_group_name_H-M_alt 'R -3 m'
_space_group_IT_number 166
_space_group_name_Hall '-R 3 2"'
_cell_length_a 7.5599
_cell_length_b 7.5599
_cell_length_c 20.7128
_cell_angle_alpha 90.00
_cell_angle_beta 90.00
_cell_angle_gamma 120.00
loop_
_atom_site_label
_atom_site_type_symbol
_atom_site_fract_x
_atom_site_fract_y
_atom_site_fract_z
_atom_site_occupancy
Er1 Er 0.0000 0.0000 0.2295 1
Er2 Er 0.0015 0.5008 0.7715 1
Te1 Te 0.0000 0.0000 0.0000 1
Te2 Te 0.0000 0.5000 0.0000 1
C1 C 0.0000 0.5000 0.5000 1
N1 N 0.0000 0.0000 0.5000 1
```

magnetic moment	0.00	μB per atom
formation energy from raw total energies	-16.290	eV per formula unit